VASP calculation (GGA-PBE) on an optimized crystal structure of Sc2GaSn.

The structure belongs to space group P2_1/m (No. 11); the cell edges are 5.6721, 3.9883 and 8.1996 Å and the angles 90.00°, 108.00° and 90.00°. The asymmetric unit holds Sc at (0.1882, 0.2500, 0.4276), Sc at (0.2785, 0.7500, 0.0596), Ga at (0.1128, 0.2500, 0.7938) and Sn at (0.3889, 0.7500, 0.7090).

For the energy of formation from the pure elements, the calculation gives -616 meV/atom.


VASP calculation (GGA-PBE) on an optimized crystal structure of Y2Zn5Ni5.

The structure belongs to space group Pmmm (No. 47); the cell edges are 3.9842, 5.1508 and 8.9126 Å and the angles 90.00°, 90.00° and 90.00°. The asymmetric unit holds Y at (0.0000, 0.0000, 0.0000), Y at (0.0000, 0.5000, 0.5000), Zn at (0.0000, 0.0000, 0.3249), Zn at (0.0000, 0.5000, 0.1670), Zn at (0.5000, 0.0000, 0.5000), Ni at (0.5000, 0.2512, 0.2468) and Ni at (0.5000, 0.5000, 0.0000).

For the energy of formation from the pure elements, the calculation gives -351 meV/atom.


VASP calculation (GGA-PBE) on an optimized crystal structure of Ca2HfUN4.

The structure belongs to space group P2/m (No. 10); the cell edges are 5.8480, 3.3943 and 5.9641 Å and the angles 90.00°, 108.56° and 90.00°. The asymmetric unit holds Ca at (0.0000, 0.0000, 0.0000), Ca at (0.5000, 0.5000, 0.0000), Hf at (0.0000, 0.5000, 0.5000), U at (0.5000, 0.0000, 0.5000), N at (0.2369, 0.0000, 0.7096) and N at (0.2545, 0.5000, 0.2858).

The calculation puts the formation energy from raw total energies at -1.441 eV per atom.


VASP calculation (GGA-PBE) on an optimized crystal structure of NaCaAc2Te4.

The structure belongs to space group P2/m (No. 10); the cell edges are 8.0263, 4.6719 and 8.0917 Å and the angles 90.00°, 109.52° and 90.00°. The asymmetric unit holds Na at (0.0000, 0.0000, 0.0000), Ca at (0.0000, 0.5000, 0.5000), Ac at (0.5000, 0.0000, 0.5000), Ac at (0.5000, 0.5000, 0.0000), Te at (0.2358, 0.0000, 0.7440) and Te at (0.2396, 0.5000, 0.2490).

The calculation puts the formation energy from raw total energies at -1.469 eV per atom.


VASP calculation (GGA-PBE) on an optimized crystal structure of Na2Tl3Sn.

The structure belongs to space group C2/c (No. 15); the cell edges are 15.1432, 6.7294 and 7.1576 Å and the angles 90.00°, 103.77° and 90.00°. The asymmetric unit holds Na at (0.1605, 0.0008, 0.0802), Tl at (0.0000, 0.2348, 0.7500), Tl at (0.1503, 0.4994, 0.5756) and Sn at (0.0000, 0.2645, 0.2500).

For the energy of formation from the pure elements, the calculation gives -92 meV/atom. The excess energy over the best structure of this formula in the dataset comes out at 0 meV/atom.


VASP calculation (GGA-PBE) on an optimized crystal structure of UTl2Br7.

The structure belongs to space group C2/c (No. 15); the cell edges are 18.2052, 8.9122 and 12.5092 Å and the angles 90.00°, 130.38° and 90.00°. The asymmetric unit holds U at (0.0000, 0.1236, 0.2500), Tl at (0.1990, 0.4414, 0.8102), Br at (0.0000, 0.4364, 0.2500), Br at (0.0868, 0.1610, 0.5248), Br at (0.1193, 0.1501, 0.8820) and Br at (0.1657, 0.1833, 0.2914).

The calculation puts the formation energy from raw total energies at -1.033 eV per atom.


VASP calculation (GGA-PBE) on an optimized crystal structure of Mg2CrOs.

The structure belongs to space group Cmm2 (No. 35); the cell edges are 3.0352, 4.5939 and 9.2280 Å and the angles 90.00°, 90.00° and 90.00°. The asymmetric unit holds Mg at (0.0000, 0.0000, 0.0000), Mg at (0.0000, 0.5000, 0.2948), Cr at (0.0000, 0.5000, 0.7531) and Os at (0.0000, 0.0000, 0.5445).

For the energy of formation from the pure elements, the calculation gives 342 meV/atom. The excess energy over the best structure of this formula in the dataset comes out at 256 meV/atom.


VASP calculation (GGA-PBE) on an optimized crystal structure of Dy8Tl2Pb.

The structure belongs to space group C2/m (No. 12); the cell edges are 17.0343, 4.9556 and 8.1825 Å and the angles 90.00°, 112.03° and 90.00°. The asymmetric unit holds Dy at (0.0543, 0.0000, 0.2240), Dy at (0.0947, 0.5000, 0.9539), Dy at (0.1435, 0.0000, 0.7024), Dy at (0.1803, 0.5000, 0.4394), Tl at (0.2238, 0.0000, 0.1468) and Pb at (0.0000, 0.5000, 0.5000).

For the energy of formation from the pure elements, the calculation gives -212 meV/atom.